No. 1
{"formula": "ReSbPdI2", "functional": "GGA-PBEsol", "state": "optimized geometry", "lattice": [[5.386, 0.000, 0.000], [0.000, 5.386, 0.000], [0.000, 0.000, 5.016]], "species": ["Re", "Sb", "Pd", "I", "I"], "frac_coords": [[0.000, 0.000, 0.000], [0.000, 0.000, 0.500], [0.500, 0.500, 0.500], [0.000, 0.500, 0.000], [0.500, 0.000, 0.000]], "energy_ev_per_cell": -21.6, "spacegroup": "P4/mmm, No. 123", "magnetic_moment_mub_per_fu": 1.00}

***

No. 2
{"formula": "Sr2InH2", "functional": "GGA-PBEsol", "state": "optimized geometry", "lattice": [[-1.978, 1.978, 7.178], [1.978, -1.978, 7.178], [1.978, 1.978, -7.178]], "species": ["Sr", "Sr", "In", "H", "H"], "frac_coords": [[0.154, 0.154, 0.000], [0.846, 0.846, 0.000], [0.500, 0.500, 0.000], [0.250, 0.750, 0.500], [0.750, 0.250, 0.500]], "energy_ev_per_cell": -15.5, "spacegroup": "I4/mmm, No. 139", "magnetic_moment_mub_per_fu": 0.75}

***

No. 3
{"formula": "BaH6C2SNO5", "functional": "GGA-PBEsol", "state": "optimized geometry", "lattice": [[6.906, 0.000, 0.000], [2.910, 6.339, 0.000], [0.693, 3.109, 9.051]], "species": ["Ba", "Ba", "H", "H", "H", "H", "H", "H", "H", "H", "H", "H", "H", "H", "C", "C", "C", "C", "S", "S", "N", "N", "O", "O", "O", "O", "O", "O", "O", "O", "O", "O"], "frac_coords": [[0.193, 0.191, 0.004], [0.807, 0.809, 0.996], [0.066, 0.379, 0.307], [0.103, 0.786, 0.265], [0.104, 0.992, 0.743], [0.132, 0.673, 0.720], [0.422, 0.970, 0.738], [0.438, 0.198, 0.678], [0.562, 0.802, 0.322], [0.578, 0.030, 0.262], [0.868, 0.327, 0.280], [0.896, 0.008, 0.257], [0.897, 0.214, 0.735], [0.934, 0.621, 0.693], [0.402, 0.590, 0.021], [0.492, 0.694, 0.624], [0.508, 0.306, 0.376], [0.598, 0.410, 0.979], [0.288, 0.436, 0.443], [0.712, 0.564, 0.557], [0.330, 0.792, 0.672], [0.670, 0.208, 0.328], [0.001, 0.073, 0.804], [0.029, 0.611, 0.770], [0.234, 0.557, 0.041], [0.425, 0.755, 0.032], [0.466, 0.069, 0.769], [0.534, 0.931, 0.231], [0.575, 0.245, 0.968], [0.766, 0.443, 0.959], [0.971, 0.389, 0.230], [0.999, 0.927, 0.196]], "energy_ev_per_cell": -195.7, "spacegroup": "P-1, No. 2", "magnetic_moment_mub_per_fu": 0.00}